[1]
Computed, not measured: a relaxed structure of TbTm4Ni at the PBE-GGA level of DFT.

```
12
Lattice="0.427 5.755 -1.391 -6.667 -4.094 -5.135 -1.112 0.546 7.660" Properties=species:S:1:pos:R:3 pbc="T T T"
Tm -5.424 2.225 -4.174
Tm -5.212 1.872 0.275
Tm -2.261 2.853 -1.326
Tm -1.928 -0.018 5.307
Tm -5.091 -0.646 2.459
Tm -6.831 -1.271 -0.300
Tm -2.141 0.335 0.858
Tm -0.521 3.478 1.433
Ni -7.455 0.767 1.477
Ni 0.102 1.440 -0.343
Tb -4.066 -0.336 -2.044
Tb -3.287 2.543 3.178
```

Summary:
space-group type = No. 15
energy of formation from the pure elements = -73.7 meV/atom

[2]
Computed, not measured: a relaxed structure of Zn2RhBr at the PBE-GGA level of DFT.

```
4
Lattice="3.447 0.000 0.000 0.000 3.449 0.000 0.000 0.000 6.709" Properties=species:S:1:pos:R:3 pbc="T T T"
Rh 1.723 1.725 5.833
Zn 1.723 1.725 1.544
Zn 0.000 0.000 6.444
Br 0.000 0.000 2.952
```

Summary:
space-group type = No. 99
formation energy from raw total energies = -0.04 eV/atom
distance to the lowest polymorph of the same formula = 173.3 meV per atom

[3]
Computed, not measured: a relaxed structure of Y8SiTe4As3 at the PBE-GGA level of DFT.

```
16
Lattice="-6.779 3.124 -3.907 1.445 -5.215 -6.676 -0.730 -3.284 7.724" Properties=species:S:1:pos:R:3 pbc="T T T"
Y -1.740 -2.367 1.126
Y -1.285 -6.225 1.858
Y -4.324 -3.008 -3.985
Y -1.342 -0.734 -2.737
Y -0.916 -4.559 -2.057
Y -4.779 0.850 -4.718
Y -5.149 -0.816 -0.803
Y -4.722 -4.641 -0.122
As -3.032 -2.687 -1.430
As -2.667 -1.045 -5.292
As 0.358 -4.249 0.524
Te -3.390 1.562 -1.954
Te -3.755 -0.080 1.909
Te 0.000 0.000 0.000
Te -0.365 -1.642 3.862
Si 0.722 -2.607 -3.338
```

Summary:
space-group type = No. 166
formation energy from raw total energies = -1.43 eV/atom

[4]
Computed, not measured: a relaxed structure of Y3Ag at the PBE-GGA level of DFT.

```
4
Lattice="6.212 0.033 0.000 2.779 5.556 0.000 -4.495 -2.795 3.251" Properties=species:S:1:pos:R:3 pbc="T T T"
Y 1.389 2.778 1.626
Y 3.106 0.017 1.626
Y 4.495 2.795 0.000
Ag 0.000 0.000 0.000
```

Summary:
space-group type = No. 139
distance to the lowest polymorph of the same formula = 171.9 meV per atom
energy of formation from the pure elements = 36.3 meV/atom

[5]
Computed, not measured: a relaxed structure of Ac2Zn3Rh5 at the PBE-GGA level of DFT.

```
20
Lattice="-0.150 1.715 5.733 -8.008 -0.926 3.193 0.048 -6.937 5.202" Properties=species:S:1:pos:R:3 pbc="T T T"
Rh -4.092 -2.645 8.497
Rh -6.373 -5.443 9.274
Rh -7.575 -1.233 9.546
Rh -1.737 -0.706 4.853
Rh -2.219 -6.031 7.996
Rh -1.662 -1.563 1.987
Rh -4.018 -3.503 5.630
Rh -6.448 -4.585 12.140
Rh -5.891 -0.118 6.131
Rh -0.535 -4.915 4.582
Zn -2.150 -3.063 3.985
Zn -5.960 -3.086 10.142
Zn -0.112 1.286 4.299
Zn -0.037 0.429 1.433
Zn -4.491 -4.984 7.623
Zn -3.619 -1.165 6.504
Ac -6.990 -2.892 6.932
Ac -1.120 -3.256 7.195
Ac -4.879 -1.253 3.372
Ac -3.231 -4.895 10.755
```

Summary:
space-group type = No. 72
energy of formation from the pure elements = -441.8 meV/atom

[6]
Computed, not measured: a relaxed structure of Ho3SiNi3 at the PBE-GGA level of DFT.

```
14
Lattice="3.860 0.000 0.581 1.899 5.049 0.494 -0.061 0.069 13.510" Properties=species:S:1:pos:R:3 pbc="T T T"
Ni 3.705 0.680 1.610
Ni 0.995 1.035 6.495
Ni 4.703 4.083 8.090
Ni 0.400 0.811 10.447
Ni 1.993 4.439 12.975
Ni 5.298 4.308 4.138
Ho 3.073 3.348 5.804
Ho 2.625 1.770 8.781
Ho 2.012 1.515 12.849
Ho 4.229 3.798 11.231
Ho 3.686 3.604 1.736
Ho 1.469 1.321 3.354
Si 2.613 4.655 8.860
Si 3.085 0.463 5.725
```

Summary:
space-group type = No. 12
formation energy from raw total energies = -0.59 eV/atom

[7]
Computed, not measured: a relaxed structure of BaLaCuTe2 at the PBE-GGA level of DFT.

```
5
Lattice="6.161 0.000 0.000 0.000 5.388 0.000 0.000 0.000 6.161" Properties=species:S:1:pos:R:3 pbc="T T T"
Te 0.000 0.000 3.080
Te 3.080 0.000 0.000
Cu 0.000 2.694 0.000
Ba 3.080 2.694 3.080
La 0.000 0.000 0.000
```

Summary:
space-group type = No. 123
formation energy from raw total energies = -0.78 eV/atom

[8]
Computed, not measured: a relaxed structure of Sb4MoBr at the PBE-GGA level of DFT.

```
6
Lattice="1.819 -5.926 -0.387 -3.925 -4.560 1.541 -2.357 -3.690 -4.405" Properties=species:S:1:pos:R:3 pbc="T T T"
Sb -0.798 -8.252 -1.418
Sb -3.604 -7.585 -0.476
Sb -2.838 -7.160 -3.381
Sb -1.686 -5.357 -1.229
Br -3.347 -10.633 -2.439
Mo 0.000 0.000 0.000
```

Summary:
space-group type = No. 216
formation energy from raw total energies = 0.76 eV/atom

[9]
Computed, not measured: a relaxed structure of Er4MgZn2 at the PBE-GGA level of DFT.

```
7
Lattice="5.032 0.000 0.000 2.516 4.358 0.000 2.516 1.453 8.619" Properties=species:S:1:pos:R:3 pbc="T T T"
Er 5.032 2.905 1.220
Er 2.516 1.453 3.180
Er 5.032 2.905 7.400
Er 7.548 4.358 5.440
Zn 7.548 4.358 2.542
Zn 2.516 1.453 6.077
Mg 0.000 0.000 0.000
```

Summary:
space-group type = No. 166
distance to the lowest polymorph of the same formula = 158.2 meV per atom
energy of formation from the pure elements = 44.0 meV/atom

[10]
Computed, not measured: a relaxed structure of AcThMgSc at the PBE-GGA level of DFT.

```
4
Lattice="5.602 0.000 0.000 2.801 4.852 0.000 2.801 1.617 4.574" Properties=species:S:1:pos:R:3 pbc="T T T"
Sc 8.403 4.852 3.431
Th 5.602 3.234 2.287
Mg 2.801 1.617 1.144
Ac 0.000 0.000 0.000
```

Summary:
space-group type = No. 216
energy of formation from the pure elements = 125.6 meV/atom

[11]
Computed, not measured: a relaxed structure of NbNiHIr2 at the PBE-GGA level of DFT.

```
5
Lattice="3.976 0.000 0.000 0.000 3.976 0.000 0.000 0.000 3.807" Properties=species:S:1:pos:R:3 pbc="T T T"
H 0.000 0.000 0.000
Ir 1.988 0.000 0.000
Ir 0.000 1.988 0.000
Nb 1.988 1.988 1.903
Ni 0.000 0.000 1.903
```

Summary:
space-group type = No. 123

[12]
Computed, not measured: a relaxed structure of Ho7AlTe2 at the PBE-GGA level of DFT.

```
10
Lattice="5.333 0.000 0.000 0.000 8.586 -0.108 0.000 -3.970 7.614" Properties=species:S:1:pos:R:3 pbc="T T T"
Te 2.666 4.823 2.206
Te 2.666 -0.207 5.300
Al 0.000 0.000 0.000
Ho 2.666 -0.627 2.264
Ho 2.666 2.313 7.044
Ho 2.666 5.243 5.242
Ho 2.666 2.303 0.462
Ho 0.000 -1.186 5.902
Ho 0.000 5.802 1.604
Ho 2.666 2.308 3.753
```

Summary:
space-group type = No. 65
formation energy from raw total energies = -0.02 eV/atom

[13]
Computed, not measured: a relaxed structure of TaSb2Cl at the PBE-GGA level of DFT.

```
4
Lattice="-0.177 1.973 -2.891 -2.517 -2.339 -1.442 -7.438 3.355 2.745" Properties=species:S:1:pos:R:3 pbc="T T T"
Sb -3.058 1.332 -1.028
Sb -2.883 -1.807 -1.056
Ta -5.125 -0.168 0.199
Cl -6.559 1.802 -0.493
```

Summary:
space-group type = No. 6
formation energy from raw total energies = -0.14 eV/atom
distance to the lowest polymorph of the same formula = 34.4 meV per atom

[14]
Computed, not measured: a relaxed structure of ZnTc at the PBE-GGA level of DFT.

```
2
Lattice="-0.546 -2.204 1.340 2.434 0.779 0.647 -1.639 2.398 3.278" Properties=species:S:1:pos:R:3 pbc="T T T"
Zn 0.124 0.487 2.632
Tc 0.000 0.000 0.000
```

Summary:
space-group type = No. 65
distance to the lowest polymorph of the same formula = 208.6 meV per atom
energy of formation from the pure elements = 168.0 meV/atom

[15]
Computed, not measured: a relaxed structure of Ba2CaFe at the PBE-GGA level of DFT.

```
4
Lattice="11.551 0.035 0.021 10.775 4.163 0.021 10.775 2.026 3.637" Properties=species:S:1:pos:R:3 pbc="T T T"
Ca 8.275 1.556 0.920
Ba 0.751 0.141 0.083
Ba 15.799 2.971 1.756
Fe 24.826 4.669 2.759
```

Summary:
space-group type = No. 166
distance to the lowest polymorph of the same formula = 113.9 meV per atom
energy of formation from the pure elements = 537.6 meV/atom

[16]
Computed, not measured: a relaxed structure of Zn5GaAg8 at the PBE-GGA level of DFT.

```
14
Lattice="-0.868 3.080 6.057 -5.961 -0.590 -3.324 2.693 -6.161 1.311" Properties=species:S:1:pos:R:3 pbc="T T T"
Zn -1.595 -0.878 -0.684
Zn 0.912 -1.541 3.684
Zn -5.639 0.968 2.513
Zn -2.826 -2.311 3.576
Zn 1.789 -5.120 2.681
Ag -0.771 -1.743 1.734
Ag -3.314 -0.390 1.535
Ag 0.455 -1.233 6.209
Ag -3.217 -3.131 -1.390
Ag -3.676 -3.982 1.528
Ag -4.279 -0.384 -1.383
Ag -1.271 0.054 4.014
Ag -0.470 -3.874 3.928
Ga -1.178 -4.146 0.835
```

Summary:
space-group type = No. 82
energy of formation from the pure elements = 69.5 meV/atom

[17]
Computed, not measured: a relaxed structure of LiGaRhSe2 at the PBE-GGA level of DFT.

```
5
Lattice="4.642 0.000 0.000 0.000 4.381 0.000 0.000 0.000 4.642" Properties=species:S:1:pos:R:3 pbc="T T T"
Se 0.000 0.000 2.321
Se 2.321 0.000 0.000
Rh 0.000 2.191 0.000
Ga 2.321 2.191 2.321
Li 0.000 0.000 0.000
```

Summary:
space-group type = No. 123
formation energy from raw total energies = 0.35 eV/atom

[18]
Computed, not measured: a relaxed structure of MnSiNiAu at the PBE-GGA level of DFT.

```
8
Lattice="-2.476 2.408 -1.370 -0.606 -1.807 -2.081 -7.450 -4.300 5.905" Properties=species:S:1:pos:R:3 pbc="T T T"
Ni -6.530 -1.851 3.509
Ni -3.108 -0.604 -0.484
Mn -5.208 -1.817 1.181
Mn -8.630 -3.063 5.174
Si -0.950 -1.277 -0.528
Si -4.372 -2.524 3.465
Au -6.548 -4.509 3.910
Au -2.521 -1.455 1.998
```

Summary:
space-group type = No. 38
formation energy from raw total energies = -0.14 eV/atom
distance to the lowest polymorph of the same formula = 62.1 meV per atom

[19]
Computed, not measured: a relaxed structure of ZnSb2TeCl at the PBE-GGA level of DFT.

```
5
Lattice="-3.115 -3.033 -3.037 4.004 -3.404 -0.708 -1.522 -2.669 4.227" Properties=species:S:1:pos:R:3 pbc="T T T"
Sb 2.002 -1.702 -0.354
Sb -1.558 -1.516 -1.518
Cl -0.317 -4.553 0.241
Te -0.761 -1.335 2.114
Zn 0.000 0.000 0.000
```

Summary:
space-group type = No. 123
formation energy from raw total energies = 0.40 eV/atom
distance to the lowest polymorph of the same formula = 0.0 meV per atom

[20]
Computed, not measured: a relaxed structure of TlCd2IO6 at the PBE-GGA level of DFT.

```
10
Lattice="5.789 0.000 0.000 2.894 5.013 0.000 2.894 1.671 4.986" Properties=species:S:1:pos:R:3 pbc="T T T"
Cd 5.789 3.342 1.949
Cd 2.894 1.672 4.572
O 6.651 4.704 3.868
O 6.537 1.915 3.868
O 7.948 3.388 1.261
O 4.669 5.190 1.261
O 4.749 1.449 1.261
O 4.178 3.408 3.868
I 2.894 1.671 0.239
Tl 8.683 5.014 2.862
```

Summary:
space-group type = No. 146
formation energy from raw total energies = -0.65 eV/atom

[21]
Computed, not measured: a relaxed structure of NiBiSe2Br at the PBE-GGA level of DFT.

```
5
Lattice="-1.822 2.957 3.363 -3.752 -2.990 0.596 2.427 -2.368 3.397" Properties=species:S:1:pos:R:3 pbc="T T T"
Se -1.876 -1.495 0.298
Se -0.911 1.479 1.682
Br 1.213 -1.184 1.699
Ni 0.000 0.000 0.000
Bi -1.574 -1.201 3.678
```

Summary:
space-group type = No. 123
formation energy from raw total energies = 0.02 eV/atom
distance to the lowest polymorph of the same formula = 0.0 meV per atom

[22]
Computed, not measured: a relaxed structure of ReSb2Br2 at the PBE-GGA level of DFT.

```
5
Lattice="-3.339 -0.581 -1.424 -1.330 -0.619 3.370 -4.538 9.601 1.978" Properties=species:S:1:pos:R:3 pbc="T T T"
Br -4.101 4.191 3.161
Br -5.105 4.210 0.763
Sb -6.559 7.550 2.808
Sb -2.648 0.851 1.116
Re 0.000 0.000 0.000
```

Summary:
space-group type = No. 139
formation energy from raw total energies = 0.68 eV/atom
distance to the lowest polymorph of the same formula = 113.1 meV per atom

[23]
Computed, not measured: a relaxed structure of ScCrB2 at the PBE-GGA level of DFT.

```
8
Lattice="3.815 0.000 0.000 0.000 3.815 0.000 1.908 1.908 7.051" Properties=species:S:1:pos:R:3 pbc="T T T"
Cr 3.815 1.908 3.526
Cr 0.000 0.000 0.000
B 2.861 1.906 5.289
B 3.814 2.861 1.763
B 3.817 0.954 1.763
B 4.769 1.909 5.289
Sc 1.908 3.815 3.526
Sc 1.908 1.908 0.000
```

Summary:
space-group type = No. 141
distance to the lowest polymorph of the same formula = 27.5 meV per atom
energy of formation from the pure elements = 225.2 meV/atom

[24]
Computed, not measured: a relaxed structure of Dy8AlPt2 at the PBE-GGA level of DFT.

```
11
Lattice="-4.261 -2.497 -2.258 5.649 -2.501 -5.065 0.005 -3.804 7.025" Properties=species:S:1:pos:R:3 pbc="T T T"
Al 0.016 -0.020 0.005
Pt -0.381 -4.674 2.202
Pt 1.809 -4.169 -2.488
Dy 1.384 -2.923 0.331
Dy 0.047 -5.330 -4.409
Dy 2.020 -6.270 2.113
Dy -0.591 -2.571 -2.398
Dy -2.881 -6.006 1.864
Dy 3.421 -5.946 -0.889
Dy -1.992 -2.894 0.604
Dy 0.045 -5.918 -0.616
```

Summary:
space-group type = No. 12
energy of formation from the pure elements = -468.6 meV/atom

[25]
Computed, not measured: a relaxed structure of Rb2NaInAg at the PBE-GGA level of DFT.

```
5
Lattice="-4.616 -2.160 -4.494 0.243 -6.214 2.737 -3.947 1.347 3.407" Properties=species:S:1:pos:R:3 pbc="T T T"
Rb 0.121 -3.107 1.368
Rb -2.308 -1.080 -2.247
Na -4.160 -3.514 0.825
Ag 0.000 0.000 0.000
In -1.974 0.673 1.704
```

Summary:
space-group type = No. 123
distance to the lowest polymorph of the same formula = 0.0 meV per atom
energy of formation from the pure elements = 85.5 meV/atom

Number 1: total energy -57.5 eV/cell, magnetization 0.00 μB/f.u.. Number 2: total energy -11.7 eV/cell, magnetization 0.00 μB/f.u.. Number 3: total energy -106.6 eV/cell, magnetization 0.00 μB/f.u.. Number 4: total energy -22.1 eV/cell, magnetization 0.01 μB/f.u.. Number 5: total energy -106.4 eV/cell, magnetization 0.00 μB/f.u.. Number 6: total energy -81.3 eV/cell, magnetization 0.00 μB/f.u.. Number 7: total energy -21.1 eV/cell, magnetization 0.00 μB/f.u.. Number 8: total energy -24.4 eV/cell, magnetization 3.76 μB/f.u.. Number 9: total energy -22.1 eV/cell, magnetization 0.00 μB/f.u.. Number 10: total energy -19.0 eV/cell, magnetization 0.00 μB/f.u.. Number 11: total energy -38.3 eV/cell, magnetization 0.00 μB/f.u.. Number 12: total energy -42.3 eV/cell, magnetization 0.00 μB/f.u.. Number 13: total energy -22.5 eV/cell, magnetization 0.39 μB/f.u.. Number 14: total energy -11.3 eV/cell, magnetization 0.00 μB/f.u.. Number 15: total energy -12.2 eV/cell, magnetization 1.96 μB/f.u.. Number 16: total energy -31.2 eV/cell, magnetization 0.00 μB/f.u.. Number 17: total energy -17.5 eV/cell, magnetization 0.00 μB/f.u.. Number 18: total energy -48.4 eV/cell, magnetization 2.78 μB/f.u.. Number 19: total energy -12.5 eV/cell, magnetization 0.00 μB/f.u.. Number 20: total energy -42.0 eV/cell, magnetization 0.00 μB/f.u.. Number 21: total energy -18.2 eV/cell, magnetization 0.00 μB/f.u.. Number 22: total energy -20.6 eV/cell, magnetization 0.00 μB/f.u.. Number 23: total energy -56.8 eV/cell, magnetization 0.00 μB/f.u.. Number 24: total energy -57.8 eV/cell, magnetization 0.00 μB/f.u.. Number 25: total energy -8.4 eV/cell, magnetization 0.00 μB/f.u..